# 1
# LiSc2Fe | Alexandria via LeMat-Bulk | GGA-PBE | relaxed
# Energy of formation   137 meV/atom
# SG   Cm
# Calculated volume   72.34 Å³/f.u.
data_LiSc2Fe
_symmetry_space_group_name_H-M 'P 1'
_symmetry_Int_Tables_number 1
_symmetry_space_group_name_Hall 'P 1'
_cell_length_a 5.327
_cell_length_b 5.327
_cell_length_c 4.834
_cell_angle_alpha 73.84
_cell_angle_beta 73.84
_cell_angle_gamma 33.45
loop_
_atom_site_label
_atom_site_fract_x
_atom_site_fract_y
_atom_site_fract_z
Sc1 0.782 0.782 0.674
Sc2 0.988 0.988 0.041
Li1 0.218 0.218 0.234
Fe1 0.512 0.512 0.552

***

# 2
# ZnCu4Ni7 | Alexandria via LeMat-Bulk | GGA-PBE | relaxed
# Energy of formation   -12 meV/atom
# SG   P-1
# Calculated volume   136.28 Å³/f.u.
data_ZnCu4Ni7
_symmetry_space_group_name_H-M 'P 1'
_symmetry_Int_Tables_number 1
_symmetry_space_group_name_Hall 'P 1'
_cell_length_a 5.063
_cell_length_b 6.682
_cell_length_c 6.685
_cell_angle_alpha 68.88
_cell_angle_beta 79.01
_cell_angle_gamma 40.68
loop_
_atom_site_label
_atom_site_fract_x
_atom_site_fract_y
_atom_site_fract_z
Zn1 0.000 0.000 0.000
Ni1 0.002 0.665 0.332
Ni2 0.500 0.000 0.000
Ni3 0.245 0.501 0.002
Ni4 0.998 0.335 0.668
Ni5 0.747 0.168 0.332
Ni6 0.755 0.499 0.998
Ni7 0.253 0.832 0.668
Cu1 0.503 0.665 0.335
Cu2 0.750 0.834 0.667
Cu3 0.250 0.166 0.333
Cu4 0.497 0.335 0.665

***

# 3
# ReWSe2 | Alexandria via LeMat-Bulk | GGA-PBE | relaxed
# Raw formation energy   0.299 eV per atom
# SG   Pmm2
# Calculated volume   81.60 Å³/f.u.
data_ReWSe2
_symmetry_space_group_name_H-M 'P 1'
_symmetry_Int_Tables_number 1
_symmetry_space_group_name_Hall 'P 1'
_cell_length_a 3.017
_cell_length_b 3.951
_cell_length_c 6.845
_cell_angle_alpha 90.00
_cell_angle_beta 90.00
_cell_angle_gamma 90.00
loop_
_atom_site_label
_atom_site_fract_x
_atom_site_fract_y
_atom_site_fract_z
Se1 0.000 0.000 0.897
Se2 0.500 0.500 0.353
Re1 0.500 0.500 0.710
W1 0.000 0.000 0.540

***

# 4
# KPr2Nd3Se6 | Alexandria via LeMat-Bulk | GGA-PBE | relaxed
# Raw formation energy   -1.794 eV per atom
# SG   C2/m
# Calculated volume   335.77 Å³/f.u.
data_KPr2Nd3Se6
_symmetry_space_group_name_H-M 'P 1'
_symmetry_Int_Tables_number 1
_symmetry_space_group_name_Hall 'P 1'
_cell_length_a 4.253
_cell_length_b 8.669
_cell_length_c 9.605
_cell_angle_alpha 103.18
_cell_angle_beta 102.79
_cell_angle_gamma 90.00
loop_
_atom_site_label
_atom_site_fract_x
_atom_site_fract_y
_atom_site_fract_z
Se1 0.672 0.083 0.344
Se2 0.002 0.263 0.003
Se3 0.336 0.414 0.672
Se4 0.328 0.917 0.656
Se5 0.998 0.737 0.997
Se6 0.664 0.586 0.328
Nd1 0.164 0.825 0.328
Nd2 0.836 0.175 0.672
Nd3 0.500 0.500 0.000
Pr1 0.830 0.657 0.660
Pr2 0.170 0.343 0.340
K1 0.500 0.000 0.000

***

# 5
# Ac3AlGe6Au2 | Alexandria via LeMat-Bulk | GGA-PBE | relaxed
# Energy of formation   -382 meV/atom
# SG   P-3m1
# Calculated volume   298.78 Å³/f.u.
data_Ac3AlGe6Au2
_symmetry_space_group_name_H-M 'P 1'
_symmetry_Int_Tables_number 1
_symmetry_space_group_name_Hall 'P 1'
_cell_length_a 6.195
_cell_length_b 6.195
_cell_length_c 8.990
_cell_angle_alpha 90.00
_cell_angle_beta 90.00
_cell_angle_gamma 120.00
loop_
_atom_site_label
_atom_site_fract_x
_atom_site_fract_y
_atom_site_fract_z
Ac1 0.000 0.000 0.000
Ac2 0.333 0.667 0.638
Ac3 0.667 0.333 0.362
Ge1 0.613 0.807 0.287
Ge2 0.807 0.193 0.713
Ge3 0.193 0.807 0.287
Ge4 0.193 0.387 0.287
Ge5 0.387 0.193 0.713
Ge6 0.807 0.613 0.713
Au1 0.667 0.333 0.995
Au2 0.333 0.667 0.005
Al1 0.000 0.000 0.500

***

# 6
# Dy2PuSc | Alexandria via LeMat-Bulk | GGA-PBE | relaxed
# Energy of formation   145 meV/atom
# SG   P4/mmm
# Calculated volume   113.89 Å³/f.u.
data_Dy2PuSc
_symmetry_space_group_name_H-M 'P 1'
_symmetry_Int_Tables_number 1
_symmetry_space_group_name_Hall 'P 1'
_cell_length_a 4.836
_cell_length_b 4.853
_cell_length_c 4.853
_cell_angle_alpha 90.00
_cell_angle_beta 90.00
_cell_angle_gamma 90.00
loop_
_atom_site_label
_atom_site_fract_x
_atom_site_fract_y
_atom_site_fract_z
Dy1 0.000 0.500 0.000
Dy2 0.000 0.000 0.500
Pu1 0.500 0.000 0.000
Sc1 0.500 0.500 0.500

***

# 7
# Tm2AlZn3 | Alexandria via LeMat-Bulk | GGA-PBE | relaxed
# Energy of formation   -407 meV/atom
# SG   Fmmm
# Calculated volume   119.25 Å³/f.u.
data_Tm2AlZn3
_symmetry_space_group_name_H-M 'P 1'
_symmetry_Int_Tables_number 1
_symmetry_space_group_name_Hall 'P 1'
_cell_length_a 5.647
_cell_length_b 5.647
_cell_length_c 8.454
_cell_angle_alpha 104.70
_cell_angle_beta 104.70
_cell_angle_gamma 103.91
loop_
_atom_site_label
_atom_site_fract_x
_atom_site_fract_y
_atom_site_fract_z
Zn1 0.833 0.333 0.166
Zn2 0.667 0.167 0.834
Zn3 0.333 0.833 0.166
Zn4 0.167 0.667 0.834
Zn5 0.834 0.834 0.668
Zn6 0.166 0.166 0.332
Al1 0.334 0.334 0.668
Al2 0.666 0.666 0.332
Tm1 0.755 0.755 0.000
Tm2 0.750 0.250 0.500
Tm3 0.250 0.750 0.500
Tm4 0.245 0.245 0.000

***

# 8
# ErH6Rh2 | Alexandria via LeMat-Bulk | GGA-PBE | relaxed
# SG   C2/m
# Electronic total energy   -4.714 eV per atom
# Calculated volume   79.90 Å³/f.u.
data_ErH6Rh2
_symmetry_space_group_name_H-M 'P 1'
_symmetry_Int_Tables_number 1
_symmetry_space_group_name_Hall 'P 1'
_cell_length_a 3.968
_cell_length_b 3.968
_cell_length_c 5.757
_cell_angle_alpha 70.51
_cell_angle_beta 70.51
_cell_angle_gamma 90.03
loop_
_atom_site_label
_atom_site_fract_x
_atom_site_fract_y
_atom_site_fract_z
H1 0.741 0.241 0.500
H2 0.398 0.414 0.174
H3 0.602 0.586 0.826
H4 0.259 0.759 0.500
H5 0.086 0.102 0.826
H6 0.914 0.898 0.174
Rh1 0.248 0.252 0.500
Rh2 0.752 0.748 0.500
Er1 0.500 0.000 0.000

***

# 9
# Pr2Sm3Y6Ho | Alexandria via LeMat-Bulk | GGA-PBE | relaxed
# Energy of formation   13 meV/atom
# SG   C2/m
# Calculated volume   396.22 Å³/f.u.
data_Pr2Sm3Y6Ho
_symmetry_space_group_name_H-M 'P 1'
_symmetry_Int_Tables_number 1
_symmetry_space_group_name_Hall 'P 1'
_cell_length_a 6.250
_cell_length_b 6.250
_cell_length_c 11.893
_cell_angle_alpha 95.01
_cell_angle_beta 95.01
_cell_angle_gamma 119.98
loop_
_atom_site_label
_atom_site_fract_x
_atom_site_fract_y
_atom_site_fract_z
Pr1 0.666 0.334 0.000
Pr2 0.334 0.666 0.000
Ho1 0.000 0.000 0.000
Sm1 0.167 0.833 0.500
Sm2 0.833 0.167 0.500
Sm3 0.500 0.500 0.500
Y1 0.751 0.751 0.251
Y2 0.917 0.584 0.749
Y3 0.584 0.917 0.749
Y4 0.416 0.083 0.251
Y5 0.249 0.249 0.749
Y6 0.083 0.416 0.251

***

# 10
# Ho3NiGe2 | Alexandria via LeMat-Bulk | GGA-PBE | relaxed
# Energy of formation   -798 meV/atom
# SG   Pnma
# Calculated volume   132.63 Å³/f.u.
data_Ho3NiGe2
_symmetry_space_group_name_H-M 'P 1'
_symmetry_Int_Tables_number 1
_symmetry_space_group_name_Hall 'P 1'
_cell_length_a 4.157
_cell_length_b 11.257
_cell_length_c 11.339
_cell_angle_alpha 90.00
_cell_angle_beta 90.00
_cell_angle_gamma 90.00
loop_
_atom_site_label
_atom_site_fract_x
_atom_site_fract_y
_atom_site_fract_z
Ho1 0.750 0.197 0.281
Ho2 0.750 0.628 0.943
Ho3 0.250 0.442 0.381
Ho4 0.750 0.942 0.119
Ho5 0.750 0.872 0.443
Ho6 0.250 0.372 0.057
Ho7 0.250 0.128 0.557
Ho8 0.250 0.803 0.719
Ho9 0.750 0.303 0.781
Ho10 0.750 0.558 0.619
Ho11 0.250 0.058 0.881
Ho12 0.250 0.697 0.219
Ge1 0.750 0.313 0.518
Ge2 0.750 0.187 0.018
Ge3 0.250 0.498 0.808
Ge4 0.750 0.998 0.692
Ge5 0.250 0.002 0.308
Ge6 0.750 0.502 0.192
Ge7 0.250 0.687 0.482
Ge8 0.250 0.813 0.982
Ni1 0.250 0.368 0.630
Ni2 0.250 0.132 0.130
Ni3 0.750 0.868 0.870
Ni4 0.750 0.632 0.370

***

# 11
# TaW2Cl | Alexandria via LeMat-Bulk | GGA-PBE | relaxed
# Raw formation energy   0.236 eV per atom
# SG   Cmm2
# Calculated volume   77.89 Å³/f.u.
data_TaW2Cl
_symmetry_space_group_name_H-M 'P 1'
_symmetry_Int_Tables_number 1
_symmetry_space_group_name_Hall 'P 1'
_cell_length_a 2.868
_cell_length_b 2.868
_cell_length_c 10.200
_cell_angle_alpha 90.00
_cell_angle_beta 90.00
_cell_angle_gamma 111.84
loop_
_atom_site_label
_atom_site_fract_x
_atom_site_fract_y
_atom_site_fract_z
Cl1 0.000 0.000 0.568
Ta1 0.500 0.500 0.759
W1 0.000 0.000 0.985
W2 0.500 0.500 0.188

***

# 12
# NdTa2N4 | Alexandria via LeMat-Bulk | GGA-PBE | relaxed
# Raw formation energy   -1.258 eV per atom
# SG   Cmcm
# Calculated volume   86.44 Å³/f.u.
data_NdTa2N4
_symmetry_space_group_name_H-M 'P 1'
_symmetry_Int_Tables_number 1
_symmetry_space_group_name_Hall 'P 1'
_cell_length_a 3.182
_cell_length_b 5.404
_cell_length_c 10.521
_cell_angle_alpha 90.00
_cell_angle_beta 90.00
_cell_angle_gamma 107.12
loop_
_atom_site_label
_atom_site_fract_x
_atom_site_fract_y
_atom_site_fract_z
Ta1 0.871 0.742 0.566
Ta2 0.129 0.258 0.434
Ta3 0.871 0.742 0.934
Ta4 0.129 0.258 0.066
N1 0.765 0.530 0.392
N2 0.500 0.000 0.000
N3 0.765 0.530 0.108
N4 0.235 0.470 0.608
N5 0.235 0.470 0.892
N6 0.933 0.865 0.750
N7 0.067 0.135 0.250
N8 0.500 0.000 0.500
Nd1 0.617 0.233 0.750
Nd2 0.383 0.767 0.250

***

# 13
# Sm2NbGa3Ir4 | Alexandria via LeMat-Bulk | GGA-PBE | relaxed
# Energy of formation   -672 meV/atom
# SG   P-4m2
# Calculated volume   191.08 Å³/f.u.
data_Sm2NbGa3Ir4
_symmetry_space_group_name_H-M 'P 1'
_symmetry_Int_Tables_number 1
_symmetry_space_group_name_Hall 'P 1'
_cell_length_a 4.220
_cell_length_b 4.220
_cell_length_c 10.728
_cell_angle_alpha 90.00
_cell_angle_beta 90.00
_cell_angle_gamma 90.00
loop_
_atom_site_label
_atom_site_fract_x
_atom_site_fract_y
_atom_site_fract_z
Ga1 0.000 0.500 0.126
Ga2 0.000 0.000 0.500
Ga3 0.500 0.000 0.874
Ir1 0.000 0.000 0.000
Ir2 0.000 0.500 0.360
Ir3 0.500 0.000 0.640
Ir4 0.500 0.500 0.000
Sm1 0.500 0.000 0.230
Sm2 0.000 0.500 0.770
Nb1 0.500 0.500 0.500

***

# 14
# Li3Tb3TiS8 | Alexandria via LeMat-Bulk | GGA-PBE | relaxed
# Raw formation energy   -1.712 eV per atom
# SG   R-3m
# Calculated volume   316.86 Å³/f.u.
data_Li3Tb3TiS8
_symmetry_space_group_name_H-M 'P 1'
_symmetry_Int_Tables_number 1
_symmetry_space_group_name_Hall 'P 1'
_cell_length_a 7.722
_cell_length_b 7.722
_cell_length_c 7.586
_cell_angle_alpha 120.61
_cell_angle_beta 90.00
_cell_angle_gamma 120.00
loop_
_atom_site_label
_atom_site_fract_x
_atom_site_fract_y
_atom_site_fract_z
S1 0.775 0.006 0.735
S2 0.230 0.460 0.735
S3 0.770 0.540 0.265
S4 0.230 0.006 0.735
S5 0.752 0.503 0.755
S6 0.225 0.994 0.265
S7 0.248 0.497 0.245
S8 0.770 0.994 0.265
Li1 0.000 0.000 0.000
Li2 0.500 0.500 0.000
Li3 0.000 0.500 0.000
Tb1 0.500 0.500 0.500
Tb2 0.500 0.000 0.500
Tb3 0.000 0.500 0.500
Ti1 0.000 0.000 0.500

***

no.,density (g cm⁻³),magnetic moment (Bohr magnetons per cell)
1,3.51,1.213
2,8.90,1.823
3,10.74,0.000
4,6.07,0.000
5,8.55,0.000
6,8.95,6.256
7,7.81,0.000
8,7.88,0.000
9,6.00,0.000
10,8.75,0.002
11,12.45,0.000
12,10.80,0.000
13,11.92,0.000
14,4.20,0.000